Entry 1:
# PBE ErInTeO6, optimized geometry
# - Energy relative to the elements, uncorrected: -1.832 eV per atom
data_ErInTeO6
_cell_length_a 5.5026
_cell_length_b 5.5026
_cell_length_c 9.0242
_cell_angle_alpha 90.00
_cell_angle_beta 90.00
_cell_angle_gamma 120.00
_space_group_name_H-M_alt 'P -3 1 c'
_space_group_IT_number 163
_space_group_name_Hall '-P 3 2c'
loop_
_atom_site_label
_atom_site_type_symbol
_atom_site_fract_x
_atom_site_fract_y
_atom_site_fract_z
Er1 Er 0.3333 0.6667 0.2500
In1 In 0.0000 0.0000 0.0000
Te1 Te 0.3333 0.6667 0.7500
O1 O 0.0388 0.3664 0.6302

=====

Entry 2:
# PBE Er4TlInO, optimized geometry
# - Energy relative to the elements, uncorrected: -1.074 eV per atom
data_Er4TlInO
_cell_length_a 6.5001
_cell_length_b 16.2753
_cell_length_c 6.5020
_cell_angle_alpha 90.00
_cell_angle_beta 90.00
_cell_angle_gamma 90.00
_space_group_name_H-M_alt 'C m c m'
_space_group_IT_number 63
_space_group_name_Hall '-C 2c 2'
loop_
_atom_site_label
_atom_site_type_symbol
_atom_site_fract_x
_atom_site_fract_y
_atom_site_fract_z
Er1 Er 0.0000 0.0796 0.2500
Er2 Er 0.0000 0.4191 0.2500
Er3 Er 0.2500 0.2500 0.0000
Tl1 Tl 0.0000 0.1108 0.7500
In1 In 0.0000 0.3886 0.7500
O1 O 0.0000 0.2506 0.2500

=====

Taking the records one at a time from the top gives total DFT energy (no corrections) values of -6.30 -5.12 eV per atom.